(1)
Crystalline HfCoTcB at its relaxed geometry, computed with PBE-GGA.

```
HfCoTcB
1.0
0.0000 2.9523 2.9523
2.9523 0.0000 2.9523
2.9523 2.9523 0.0000
Tc B Hf Co
1 1 1 1
Direct
0.2500 0.2500 0.2500 Tc
0.0000 0.0000 0.0000 B
0.5000 0.5000 0.5000 Hf
0.7500 0.7500 0.7500 Co
```

Calculated values
crystal system = cubic
distance to the lowest polymorph of the same formula = 0.0 meV/atom

(2)
Crystalline HfCoTcB at its relaxed geometry, computed with PBE-GGA.

```
HfCoTcB
1.0
3.7718 0.2376 1.9531
0.2109 1.1766 4.0828
1.0333 -2.8502 2.9844
Co B Tc Hf
1 1 1 1
Direct
0.7500 0.7500 0.7500 Co
0.0000 0.0000 0.0000 B
0.5000 0.5000 0.5000 Tc
0.2500 0.2500 0.2500 Hf
```

Calculated values
crystal system = cubic
distance to the lowest polymorph of the same formula = 286.0 meV/atom

(3)
Crystalline HfCoBW at its relaxed geometry, computed with PBE-GGA.

```
HfCoBW
1.0
0.0000 2.9995 2.9995
2.9995 0.0000 2.9995
2.9995 2.9995 0.0000
B Hf W Co
1 1 1 1
Direct
0.0000 0.0000 0.0000 B
0.5000 0.5000 0.5000 Hf
0.2500 0.2500 0.2500 W
0.7500 0.7500 0.7500 Co
```

Calculated values
crystal system = cubic
distance to the lowest polymorph of the same formula = 0.0 meV/atom

(4)
Crystalline CoHgB4 at its relaxed geometry, computed with PBE-GGA.

```
CoHgB4
1.0
-1.4959 2.5910 3.8280
1.4959 -2.5910 3.8280
1.4959 2.5910 -3.8280
B Hg Co
4 1 1
Direct
0.3981 0.7323 0.6658 B
0.0665 0.7323 0.3342 B
0.9335 0.2677 0.6658 B
0.6019 0.2677 0.3342 B
0.5000 0.5000 0.0000 Hg
0.0000 0.0000 0.0000 Co
```

Calculated values
crystal system = orthorhombic
distance to the lowest polymorph of the same formula = 327.1 meV/atom